# Sr2Li3Bi4Au (PBE, optimized geometry)
# DFT formation energy = -5.85 eV per formula unit
# Fermi-level density of states = 4.4 states/eV per cell
# raw total energy = -3.38 eV per atom
# magnetization = 0.0 μB per cell
data_Sr2Li3Bi4Au
_chemical_formula_sum 'Sr2 Li3 Bi4 Au1'
_space_group_name_H-M_alt 'P -4 m 2'
_space_group_IT_number 115
_space_group_name_Hall 'P -4 -2'
_cell_length_a 4.7534
_cell_length_b 4.7534
_cell_length_c 12.1699
_cell_angle_alpha 90.00
_cell_angle_beta 90.00
_cell_angle_gamma 90.00
loop_
_atom_site_label
_atom_site_type_symbol
_atom_site_fract_x
_atom_site_fract_y
_atom_site_fract_z
Sr1 Sr 0.0000 0.5000 0.2307
Li1 Li 0.0000 0.0000 0.0000
Li2 Li 0.0000 0.5000 0.6374
Bi1 Bi 0.0000 0.0000 0.5000
Bi2 Bi 0.0000 0.5000 0.8603
Bi3 Bi 0.5000 0.5000 0.5000
Au1 Au 0.5000 0.5000 0.0000